No. 1
The following is a PBE calculation of a geometry-optimized TbTmMnTc structure, from the Alexandria database.

Calculated values
Energy relative to the elements, kJ/mol of formula units: 42
VASP energy, Ry per atom: -0.5182

a = 4.896 Å, b = 4.896 Å, c = 4.896 Å
α = 60.00°, β = 60.00°, γ = 60.00°
Element x y z (fractional)
Tm (0.250, 0.250, 0.250)
Tb (0.750, 0.750, 0.750)
Tc (0.500, 0.500, 0.500)
Mn (0.000, 0.000, 0.000)



No. 2
The following is a PBE calculation of a geometry-optimized TbMnTe2 structure, from the Alexandria database.

Calculated values
Energy relative to the elements, uncorrected, eV/atom: -0.204
VASP energy, Ry per atom: -0.3840

a = 3.920 Å, b = 3.920 Å, c = 9.524 Å
α = 78.12°, β = 78.12°, γ = 60.00°
Element x y z (fractional)
Te (0.110, 0.110, 0.671)
Te (0.890, 0.890, 0.329)
Tb (0.000, 0.000, 0.000)
Mn (0.500, 0.500, 0.500)



No. 3
The following is a PBE calculation of a geometry-optimized Tb2MnTe structure, from the Alexandria database.

Calculated values
Energy relative to the elements, uncorrected, eV/atom: 0.142
VASP energy, Ry per atom: -0.3859

a = 3.798 Å, b = 3.798 Å, c = 10.077 Å
α = 79.14°, β = 79.14°, γ = 60.00°
Element x y z (fractional)
Te (0.500, 0.500, 0.500)
Tb (0.095, 0.095, 0.715)
Tb (0.905, 0.905, 0.285)
Mn (0.000, 0.000, 0.000)



No. 4
The following is a PBE calculation of a geometry-optimized TbMnTe3 structure, from the Alexandria database.

Calculated values
Energy relative to the elements, uncorrected, eV/atom: -0.742
VASP energy, Ry per atom: -0.3959

a = 4.212 Å, b = 7.839 Å, c = 8.607 Å
α = 94.03°, β = 90.00°, γ = 90.00°
Element x y z (fractional)
Tb (0.250, 0.380, 0.215)
Tb (0.750, 0.620, 0.785)
Mn (0.250, 0.852, 0.336)
Mn (0.750, 0.148, 0.664)
Te (0.750, 0.626, 0.405)
Te (0.250, 0.374, 0.595)
Te (0.750, 0.273, 0.963)
Te (0.250, 0.902, 0.661)
Te (0.250, 0.727, 0.037)
Te (0.750, 0.098, 0.339)



No. 5
The following is a PBE calculation of a geometry-optimized Tb3Mn5Te12 structure, from the Alexandria database.

Calculated values
Energy relative to the elements, uncorrected, eV/atom: -0.534
VASP energy, Ry per atom: -0.3973

a = 14.708 Å, b = 14.708 Å, c = 14.708 Å
α = 109.47°, β = 109.47°, γ = 109.47°
Element x y z (fractional)
Te (0.710, 0.123, 0.035)
Te (0.325, 0.535, 0.412)
Te (0.965, 0.377, 0.290)
Te (0.535, 0.210, 0.123)
Te (0.587, 0.710, 0.675)
Te (0.965, 0.588, 0.175)
Te (0.325, 0.790, 0.413)
Te (0.088, 0.913, 0.123)
Te (0.588, 0.965, 0.675)
Te (0.710, 0.587, 0.175)
Te (0.790, 0.465, 0.377)
Te (0.825, 0.912, 0.035)
Te (0.123, 0.710, 0.535)
Te (0.377, 0.412, 0.087)
Te (0.087, 0.912, 0.377)
Te (0.413, 0.123, 0.588)
Te (0.087, 0.175, 0.210)
Te (0.465, 0.675, 0.088)
Te (0.825, 0.913, 0.290)
Te (0.123, 0.413, 0.088)
Te (0.377, 0.965, 0.790)
Te (0.588, 0.623, 0.413)
Te (0.912, 0.825, 0.535)
Te (0.790, 0.325, 0.913)
Te (0.412, 0.377, 0.587)
Te (0.088, 0.175, 0.465)
Te (0.210, 0.675, 0.087)
Te (0.175, 0.087, 0.710)
Te (0.623, 0.035, 0.210)
Te (0.877, 0.587, 0.912)
Te (0.535, 0.325, 0.912)
Te (0.587, 0.877, 0.412)
Te (0.913, 0.825, 0.790)
Te (0.913, 0.088, 0.623)
Te (0.877, 0.290, 0.465)
Te (0.175, 0.088, 0.965)
Te (0.623, 0.588, 0.913)
Te (0.412, 0.035, 0.325)
Te (0.290, 0.413, 0.825)
Te (0.210, 0.535, 0.623)
Te (0.912, 0.087, 0.877)
Te (0.675, 0.210, 0.587)
Te (0.465, 0.790, 0.877)
Te (0.035, 0.412, 0.825)
Te (0.413, 0.290, 0.325)
Te (0.035, 0.623, 0.710)
Te (0.675, 0.465, 0.588)
Te (0.290, 0.877, 0.965)
Tb (0.750, 0.375, 0.125)
Tb (0.875, 0.750, 0.125)
Tb (0.375, 0.750, 0.625)
Tb (0.250, 0.125, 0.375)
Tb (0.875, 0.125, 0.250)
Tb (0.375, 0.625, 0.250)
Tb (0.625, 0.375, 0.750)
Tb (0.125, 0.875, 0.750)
Tb (0.750, 0.875, 0.625)
Tb (0.625, 0.250, 0.375)
Tb (0.125, 0.250, 0.875)
Tb (0.250, 0.625, 0.875)
Mn (0.125, 0.375, 0.250)
Mn (0.000, 0.500, 0.000)
Mn (0.000, 0.000, 0.000)
Mn (0.375, 0.250, 0.125)
Mn (0.500, 0.000, 0.500)
Mn (0.500, 0.500, 0.000)
Mn (0.125, 0.750, 0.375)
Mn (0.750, 0.125, 0.875)
Mn (0.750, 0.625, 0.375)
Mn (0.375, 0.125, 0.750)
Mn (0.625, 0.875, 0.250)
Mn (0.500, 0.500, 0.500)
Mn (0.500, 0.000, 0.000)
Mn (0.000, 0.000, 0.500)
Mn (0.250, 0.375, 0.625)
Mn (0.250, 0.875, 0.125)
Mn (0.000, 0.500, 0.500)
Mn (0.875, 0.250, 0.625)
Mn (0.625, 0.750, 0.875)
Mn (0.875, 0.625, 0.750)



No. 6
The following is a PBE calculation of a geometry-optimized Tb2MnTl3Te6 structure, from the Alexandria database.

Calculated values
Energy relative to the elements, uncorrected, eV/atom: -0.739
VASP energy, Ry per atom: -0.3261

a = 7.584 Å, b = 7.584 Å, c = 8.401 Å
α = 98.78°, β = 98.78°, γ = 119.90°
Element x y z (fractional)
Tb (0.336, 0.664, 0.000)
Tb (0.664, 0.336, 0.000)
Mn (0.000, 0.000, 0.000)
Tl (0.178, 0.822, 0.500)
Tl (0.822, 0.178, 0.500)
Tl (0.500, 0.500, 0.500)
Te (0.933, 0.621, 0.795)
Te (0.758, 0.758, 0.217)
Te (0.067, 0.379, 0.205)
Te (0.621, 0.933, 0.795)
Te (0.242, 0.242, 0.783)
Te (0.379, 0.067, 0.205)



No. 7
The following is a PBE calculation of a geometry-optimized Tb3MnTl4Te8 structure, from the Alexandria database.

Calculated values
Energy relative to the elements, uncorrected, eV/atom: -0.817
VASP energy, Ry per atom: -0.3249

a = 8.817 Å, b = 9.516 Å, c = 8.816 Å
α = 117.61°, β = 120.00°, γ = 90.00°
Element x y z (fractional)
Tb (0.500, 0.500, 0.000)
Tb (0.500, 0.500, 0.500)
Tb (0.000, 0.500, 0.500)
Mn (0.000, 0.500, 0.000)
Tl (0.500, 0.000, 0.000)
Tl (0.500, 0.000, 0.500)
Tl (0.000, 0.000, 0.000)
Tl (0.000, 0.000, 0.500)
Te (0.228, 0.708, 0.980)
Te (0.228, 0.708, 0.455)
Te (0.260, 0.281, 0.521)
Te (0.752, 0.708, 0.980)
Te (0.248, 0.292, 0.020)
Te (0.740, 0.719, 0.479)
Te (0.772, 0.292, 0.545)
Te (0.772, 0.292, 0.020)



No. 8
The following is a PBE calculation of a geometry-optimized TbTh2Mn structure, from the Alexandria database.

Calculated values
Energy relative to the elements, kJ/mol of formula units: 61
VASP energy, Ry per atom: -0.5147
Offset from the most stable computed form, eV per atom: 0.000

a = 3.569 Å, b = 3.569 Å, c = 8.629 Å
α = 90.00°, β = 90.00°, γ = 90.00°
Element x y z (fractional)
Mn (0.500, 0.500, 0.000)
Tb (0.500, 0.500, 0.500)
Th (0.000, 0.000, 0.794)
Th (0.000, 0.000, 0.206)



No. 9
The following is a PBE calculation of a geometry-optimized TbTh2Mn structure, from the Alexandria database.

Calculated values
Energy relative to the elements, kJ/mol of formula units: 83
VASP energy, Ry per atom: -0.5105
Offset from the most stable computed form, eV per atom: 0.057

a = 3.777 Å, b = 3.777 Å, c = 9.298 Å
α = 78.28°, β = 78.28°, γ = 60.00°
Element x y z (fractional)
Mn (0.000, 0.000, 0.000)
Tb (0.500, 0.500, 0.500)
Th (0.275, 0.275, 0.175)
Th (0.725, 0.725, 0.825)



No. 10
The following is a PBE calculation of a geometry-optimized TbThMn structure, from the Alexandria database.

Calculated values
Energy relative to the elements, kJ/mol of formula units: 88
VASP energy, Ry per atom: -0.4975
Offset from the most stable computed form, eV per atom: 0.102

a = 3.549 Å, b = 5.898 Å, c = 7.832 Å
α = 89.55°, β = 90.00°, γ = 107.51°
Element x y z (fractional)
Mn (0.290, 0.579, 0.391)
Mn (0.710, 0.421, 0.609)
Th (0.591, 0.182, 0.310)
Th (0.409, 0.818, 0.690)
Tb (0.864, 0.728, 0.096)
Tb (0.136, 0.272, 0.904)



No. 11
The following is a PBE calculation of a geometry-optimized TbThMn structure, from the Alexandria database.

Calculated values
Energy relative to the elements, kJ/mol of formula units: 59
VASP energy, Ry per atom: -0.5050
Offset from the most stable computed form, eV per atom: 0.000

a = 3.604 Å, b = 3.604 Å, c = 6.426 Å
α = 106.29°, β = 106.29°, γ = 90.00°
Element x y z (fractional)
Mn (0.673, 0.673, 0.346)
Tb (0.018, 0.018, 0.037)
Th (0.309, 0.309, 0.618)



No. 12
The following is a PBE calculation of a geometry-optimized TbThMn17 structure, from the Alexandria database.

Calculated values
Energy relative to the elements, kJ/mol of formula units: 11
VASP energy, Ry per atom: -0.6492

a = 6.353 Å, b = 6.353 Å, c = 6.353 Å
α = 86.22°, β = 86.22°, γ = 86.22°
Element x y z (fractional)
Tb (0.647, 0.647, 0.647)
Th (0.354, 0.354, 0.354)
Mn (0.272, 0.999, 0.727)
Mn (0.727, 0.272, 0.999)
Mn (0.999, 0.727, 0.272)
Mn (0.272, 0.727, 0.999)
Mn (0.999, 0.272, 0.727)
Mn (0.727, 0.999, 0.272)
Mn (0.355, 0.876, 0.355)
Mn (0.355, 0.355, 0.876)
Mn (0.876, 0.355, 0.355)
Mn (0.646, 0.126, 0.646)
Mn (0.646, 0.646, 0.126)
Mn (0.126, 0.646, 0.646)
Mn (0.998, 0.500, 0.998)
Mn (0.998, 0.998, 0.500)
Mn (0.500, 0.998, 0.998)
Mn (0.901, 0.901, 0.901)
Mn (0.100, 0.100, 0.100)



Please write out number 6 again, unchanged.
The following is a PBE calculation of a geometry-optimized Tb2MnTl3Te6 structure, from the Alexandria database.

Calculated values
Energy relative to the elements, uncorrected, eV/atom: -0.739
VASP energy, Ry per atom: -0.3261

a = 7.584 Å, b = 7.584 Å, c = 8.401 Å
α = 98.78°, β = 98.78°, γ = 119.90°
Element x y z (fractional)
Tb (0.336, 0.664, 0.000)
Tb (0.664, 0.336, 0.000)
Mn (0.000, 0.000, 0.000)
Tl (0.178, 0.822, 0.500)
Tl (0.822, 0.178, 0.500)
Tl (0.500, 0.500, 0.500)
Te (0.933, 0.621, 0.795)
Te (0.758, 0.758, 0.217)
Te (0.067, 0.379, 0.205)
Te (0.621, 0.933, 0.795)
Te (0.242, 0.242, 0.783)
Te (0.379, 0.067, 0.205)



Which of these has the highest VASP energy?
Tb3MnTl4Te8